Entry 1:
First-principles (PBE) data for SrPu2AgO8 after structural relaxation, as listed in Alexandria.

As for the density of states at the Fermi level: 0.810 states/eV per atom. The formation energy without anion corrections is -2.018 eV/atom. The density comes out at 8.578 g/cm3.

The space group is I-4 (No. 82) and the conventional cell measures 5.501, 5.501 and 10.382 Å, with angles of 90.00, 90.00 and 90.00 degrees. The distinct sites, in fractional coordinates, are Sr at (0.000, 0.000, 0.000), Pu at (0.000, 0.000, 0.500), Pu at (0.000, 0.500, 0.750), Ag at (0.000, 0.500, 0.250), O at (0.214, 0.247, 0.627) and O at (0.214, 0.754, 0.626).

=====

Entry 2:
First-principles (PBE) data for SrPuAgO6 after structural relaxation, as listed in Alexandria.

As for the density of states at the Fermi level: 0.528 states/eV per atom. The formation energy without anion corrections is -1.781 eV/atom. The density comes out at 6.136 g/cm3.

The space group is P-31c (No. 163) and the conventional cell measures 5.5463, 5.5463 and 10.8800 Å, with angles of 90.00, 90.00 and 120.00 degrees. The distinct sites, in fractional coordinates, are Sr at (0.0000, 0.0000, 0.0000), Pu at (0.3333, 0.6667, 0.2500), Ag at (0.3333, 0.6667, 0.7500) and O at (0.0314, 0.3762, 0.1440).